Below is a geometry-optimized Sr2ThInTe5 structure, with properties calculated at the PBE level.

Lattice parameters (Å, degrees): 4.616 19.577 14.503 90.00 90.00 90.00
Space group Cmc2_1 (No. 36)
Symmetry-distinct sites (fractional):
Sr  0.000  0.102  0.000 [4 per cell]
Sr  0.000  0.132  0.637 [4 per cell]
Th  0.000  0.214  0.351 [4 per cell]
In  0.000  0.459  0.778 [4 per cell]
Te  0.000  0.059  0.403 [4 per cell]
Te  0.000  0.277  0.000 [4 per cell]
Te  0.000  0.306  0.703 [4 per cell]
Te  0.000  0.372  0.326 [4 per cell]
Te  0.000  0.493  0.088 [4 per cell]

## Properties
density = 5.9 g/cm³
D(E_F) = 14.21 states/eV/cell
ΔE_f (raw) = -110.93 kJ/mol of atoms